(1)
# Pm4TeP3, relaxed, DFT PBE
data_Pm4TeP3
_chemical_formula_sum 'Pm8 Te2 P6'
_symmetry_space_group_name_H-M 'P 63/m m c'
_symmetry_Int_Tables_number 194
_symmetry_space_group_name_Hall '-P 6c 2c'
_cell_length_a 4.1901
_cell_length_b 4.1901
_cell_length_c 27.9669
_cell_angle_alpha 90.00
_cell_angle_beta 90.00
_cell_angle_gamma 120.00
loop_
_atom_site_label
_atom_site_type_symbol
_atom_site_fract_x
_atom_site_fract_y
_atom_site_fract_z
Pm1 Pm 0.0000 0.0000 0.1729
Pm2 Pm 0.3333 0.6667 0.0575
Te1 Te 0.3333 0.6667 0.2500
P1 P 0.0000 0.0000 0.0000
P2 P 0.3333 0.6667 0.6197
# crystal system = hexagonal
# E_form (uncorrected) = -1.594 eV per atom

---

(2)
# Pm6TlTe3P2, relaxed, DFT PBE
data_Pm6TlTe3P2
_chemical_formula_sum 'Pm12 Tl2 Te6 P4'
_symmetry_space_group_name_H-M 'C 1 2/m 1'
_symmetry_Int_Tables_number 12
_cell_length_a 19.133
_cell_length_b 4.279
_cell_length_c 8.904
_cell_angle_alpha 90.00
_cell_angle_beta 104.49
_cell_angle_gamma 90.00
loop_
_symmetry_equiv_pos_as_xyz
'x,y,z'
'-x,-y,-z'
'-x,y,-z'
'x,-y,z'
'x+1/2,y+1/2,z'
'-x+1/2,-y+1/2,-z'
'-x+1/2,y+1/2,-z'
'x+1/2,-y+1/2,z'
loop_
_atom_site_label
_atom_site_type_symbol
_atom_site_fract_x
_atom_site_fract_y
_atom_site_fract_z
Pm1 Pm 0.011 0.000 0.256
Pm2 Pm 0.168 0.500 0.111
Pm3 Pm 0.175 0.500 0.563
Tl1 Tl 0.000 0.500 0.000
Te1 Te 0.000 0.500 0.500
Te2 Te 0.164 0.000 0.831
P1 P 0.169 0.000 0.337
# crystal system = monoclinic
# E_form (uncorrected) = -1.323 eV per atom

---

(3)
# Pm4TlTe2P, relaxed, DFT PBE
data_Pm4TlTe2P
_chemical_formula_sum 'Pm4 Tl1 Te2 P1'
_symmetry_space_group_name_H-M 'P 1 2/m 1'
_symmetry_Int_Tables_number 10
_cell_length_a 7.668
_cell_length_b 4.300
_cell_length_c 7.690
_cell_angle_alpha 90.00
_cell_angle_beta 108.45
_cell_angle_gamma 90.00
loop_
_symmetry_equiv_pos_as_xyz
'x,y,z'
'-x,-y,-z'
'-x,y,-z'
'x,-y,z'
loop_
_atom_site_label
_atom_site_type_symbol
_atom_site_fract_x
_atom_site_fract_y
_atom_site_fract_z
Pm1 Pm 0.228 0.000 0.222
Pm2 Pm 0.241 0.500 0.761
Tl1 Tl 0.500 0.000 0.000
Te1 Te 0.000 0.000 0.500
Te2 Te 0.500 0.500 0.500
P1 P 0.000 0.500 0.000
# crystal system = monoclinic
# E_form (uncorrected) = -1.193 eV per atom

---

(4)
# Pm8ZnTe4P3, relaxed, DFT PBE
data_Pm8ZnTe4P3
_chemical_formula_sum 'Pm24 Zn3 Te12 P9'
_symmetry_space_group_name_H-M 'R -3 m'
_symmetry_Int_Tables_number 166
_symmetry_space_group_name_Hall '-R 3 2"'
_cell_length_a 8.5298
_cell_length_b 8.5298
_cell_length_c 21.6461
_cell_angle_alpha 90.00
_cell_angle_beta 90.00
_cell_angle_gamma 120.00
loop_
_atom_site_label
_atom_site_type_symbol
_atom_site_fract_x
_atom_site_fract_y
_atom_site_fract_z
Pm1 Pm 0.0000 0.0000 0.2370
Pm2 Pm 0.0064 0.5032 0.7594
Zn1 Zn 0.0000 0.0000 0.5000
Te1 Te 0.0000 0.0000 0.0000
Te2 Te 0.0000 0.5000 0.0000
P1 P 0.0000 0.5000 0.5000
# crystal system = trigonal
# E_form (uncorrected) = -1.375 eV per atom

---

(5)
# Pm4ZnTe2P, relaxed, DFT PBE
data_Pm4ZnTe2P
_chemical_formula_sum 'Pm4 Zn1 Te2 P1'
_symmetry_space_group_name_H-M 'P 1 2/m 1'
_symmetry_Int_Tables_number 10
_cell_length_a 7.536
_cell_length_b 4.245
_cell_length_c 7.586
_cell_angle_alpha 90.00
_cell_angle_beta 108.44
_cell_angle_gamma 90.00
loop_
_symmetry_equiv_pos_as_xyz
'x,y,z'
'-x,-y,-z'
'-x,y,-z'
'x,-y,z'
loop_
_atom_site_label
_atom_site_type_symbol
_atom_site_fract_x
_atom_site_fract_y
_atom_site_fract_z
Pm1 Pm 0.230 0.000 0.220
Pm2 Pm 0.249 0.500 0.769
Zn1 Zn 0.500 0.000 0.000
Te1 Te 0.000 0.000 0.500
Te2 Te 0.500 0.500 0.500
P1 P 0.000 0.500 0.000
# crystal system = monoclinic
# E_form (uncorrected) = -1.169 eV per atom

---

(6)
# PmTh2P4, relaxed, DFT PBE
data_PmTh2P4
_chemical_formula_sum 'Pm4 Th8 P16'
_symmetry_space_group_name_H-M 'C m c m'
_symmetry_Int_Tables_number 63
_symmetry_space_group_name_Hall '-C 2c 2'
_cell_length_a 4.209
_cell_length_b 14.007
_cell_length_c 11.930
_cell_angle_alpha 90.00
_cell_angle_beta 90.00
_cell_angle_gamma 90.00
loop_
_atom_site_label
_atom_site_type_symbol
_atom_site_fract_x
_atom_site_fract_y
_atom_site_fract_z
Pm1 Pm 0.000 0.100 0.250
Th1 Th 0.000 0.367 0.060
P1 P 0.000 0.000 0.000
P2 P 0.000 0.264 0.653
P3 P 0.000 0.469 0.250
# crystal system = orthorhombic
# energy of formation from the pure elements = -1.136 eV/atom

---

Number 1: M_tot 0.0 Bohr magnetons per cell. Number 2: M_tot 0.0 Bohr magnetons per cell. Number 3: M_tot 0.0 Bohr magnetons per cell. Number 4: M_tot 0.0 Bohr magnetons per cell. Number 5: M_tot 0.0 Bohr magnetons per cell. Number 6: M_tot 0.0 Bohr magnetons per cell.